CeZrCo2: optimized geometry, GGA-PBE.

Unit cell a=6.5747 b=6.5747 c=6.5747 alpha=32.70 beta=32.70 gamma=32.70
Positions (direct):
Ce: 0.0000 0.0000 0.0000
Zr: 0.5000 0.5000 0.5000
Co: 0.2481 0.2481 0.2481
Co: 0.7519 0.7519 0.7519

## Properties
The crystal system is trigonal. The energy comes out at -7.2440 eV/atom. For the formation energy, the calculation gives -0.07 eV per atom. As for the magnetization: 0.00 μB per cell. As for the distance to the lowest polymorph of the same formula: 113 meV/atom. The space group is R-3m (166).